Entry from Alexandria: HoGaCl4 after structural relaxation (PBE).

Unit cell a=6.791 b=6.791 c=7.738 alpha=99.55 beta=99.55 gamma=34.71
Fractional coordinates of all 6 atoms:
Ho: 0.000 0.000 0.000
Ga: 0.500 0.500 0.500
Cl: 0.108 0.108 0.315
Cl: 0.386 0.386 0.098
Cl: 0.614 0.614 0.902
Cl: 0.892 0.892 0.685

Computed properties:
Space-group type   C2/m, No. 12
E_form (uncorrected)   -167.71 kJ/mol of atoms

Entry from Alexandria: HoGa2Cl8 after structural relaxation (PBE).

Unit cell a=8.015 b=8.015 c=6.543 alpha=96.42 beta=96.42 gamma=64.15
Fractional coordinates of all 11 atoms:
Ho: 0.000 0.000 0.000
Ga: 0.183 0.183 0.641
Ga: 0.817 0.817 0.359
Cl: 0.109 0.709 0.225
Cl: 0.163 0.163 0.276
Cl: 0.291 0.891 0.775
Cl: 0.341 0.341 0.754
Cl: 0.659 0.659 0.246
Cl: 0.709 0.109 0.225
Cl: 0.837 0.837 0.724
Cl: 0.891 0.291 0.775

Computed properties:
Space-group type   C2/m, No. 12
E_form (uncorrected)   -131.53 kJ/mol of atoms

Entry from Alexandria: HoGa3Cl6 after structural relaxation (PBE).

Unit cell a=8.540 b=8.540 c=8.540 alpha=92.41 beta=92.41 gamma=92.41
Fractional coordinates of all 20 atoms:
Ho: 0.000 0.000 0.000
Ho: 0.500 0.500 0.500
Ga: 0.084 0.750 0.416
Ga: 0.250 0.584 0.916
Ga: 0.416 0.084 0.750
Ga: 0.584 0.916 0.250
Ga: 0.750 0.416 0.084
Ga: 0.916 0.250 0.584
Cl: 0.050 0.943 0.701
Cl: 0.057 0.299 0.950
Cl: 0.201 0.443 0.550
Cl: 0.299 0.950 0.057
Cl: 0.443 0.550 0.201
Cl: 0.450 0.799 0.557
Cl: 0.550 0.201 0.443
Cl: 0.557 0.450 0.799
Cl: 0.701 0.050 0.943
Cl: 0.799 0.557 0.450
Cl: 0.943 0.701 0.050
Cl: 0.950 0.057 0.299

Computed properties:
Space-group type   R-3c, No. 167
E_form (uncorrected)   -127.46 kJ/mol of atoms

Entry from Alexandria: HoGa2Cl5 after structural relaxation (PBE).

Unit cell a=12.410 b=8.399 c=8.008 alpha=90.00 beta=90.00 gamma=90.00
Fractional coordinates of all 32 atoms:
Ho: 0.004 0.250 0.079
Ho: 0.496 0.750 0.579
Ho: 0.504 0.250 0.421
Ho: 0.996 0.750 0.921
Ga: 0.174 0.504 0.539
Ga: 0.174 0.996 0.539
Ga: 0.326 0.004 0.039
Ga: 0.326 0.496 0.039
Ga: 0.674 0.504 0.961
Ga: 0.674 0.996 0.961
Ga: 0.826 0.004 0.461
Ga: 0.826 0.496 0.461
Cl: 0.006 0.250 0.420
Cl: 0.074 0.545 0.164
Cl: 0.074 0.955 0.164
Cl: 0.185 0.250 0.894
Cl: 0.205 0.750 0.840
Cl: 0.295 0.250 0.340
Cl: 0.315 0.750 0.394
Cl: 0.426 0.045 0.664
Cl: 0.426 0.455 0.664
Cl: 0.494 0.750 0.920
Cl: 0.506 0.250 0.080
Cl: 0.574 0.545 0.336
Cl: 0.574 0.955 0.336
Cl: 0.685 0.250 0.606
Cl: 0.705 0.750 0.660
Cl: 0.795 0.250 0.160
Cl: 0.815 0.750 0.106
Cl: 0.926 0.045 0.836
Cl: 0.926 0.455 0.836
Cl: 0.994 0.750 0.580

Computed properties:
Space-group type   Pnma, No. 62
E_form (uncorrected)   -143.93 kJ/mol of atoms

Entry from Alexandria: Ho2GaCl after structural relaxation (PBE).

Unit cell a=7.033 b=7.033 c=7.033 alpha=34.05 beta=34.05 gamma=34.05
Fractional coordinates of all 4 atoms:
Ho: 0.244 0.244 0.244
Ho: 0.756 0.756 0.756
Ga: 0.500 0.500 0.500
Cl: 0.000 0.000 0.000

Computed properties:
Space-group type   R-3m, No. 166
E_form (uncorrected)   -87.30 kJ/mol of atoms
Energy relative to the lowest polymorph listed for this composition   0.0000 eV/atom

Entry from Alexandria: Ho4GaCl5 after structural relaxation (PBE).

Unit cell a=9.021 b=9.021 c=8.076 alpha=102.18 beta=102.18 gamma=25.25
Fractional coordinates of all 10 atoms:
Ho: 0.001 0.001 0.236
Ho: 0.344 0.344 0.915
Ho: 0.656 0.656 0.085
Ho: 0.999 0.999 0.764
Ga: 0.500 0.500 0.000
Cl: 0.167 0.167 0.323
Cl: 0.175 0.175 0.852
Cl: 0.500 0.500 0.500
Cl: 0.825 0.825 0.148
Cl: 0.833 0.833 0.677

Computed properties:
Space-group type   C2/m, No. 12
E_form (uncorrected)   -152.40 kJ/mol of atoms

Entry from Alexandria: Ho2GaCl after structural relaxation (PBE).

Unit cell a=8.678 b=8.678 c=8.678 alpha=23.90 beta=23.90 gamma=23.90
Fractional coordinates of all 4 atoms:
Ho: 0.000 0.000 0.000
Ho: 0.171 0.171 0.171
Ga: 0.585 0.585 0.585
Cl: 0.754 0.754 0.754

Computed properties:
Space-group type   R3m, No. 160
E_form (uncorrected)   -85.51 kJ/mol of atoms
Energy relative to the lowest polymorph listed for this composition   0.0186 eV/atom

Entry from Alexandria: HoIn2GaCl6 after structural relaxation (PBE).

Unit cell a=7.810 b=7.810 c=7.810 alpha=58.94 beta=58.94 gamma=58.94
Fractional coordinates of all 10 atoms:
Ho: 0.000 0.000 0.000
In: 0.295 0.295 0.295
In: 0.787 0.787 0.787
Ga: 0.509 0.509 0.509
Cl: 0.146 0.317 0.752
Cl: 0.206 0.864 0.670
Cl: 0.317 0.752 0.146
Cl: 0.670 0.206 0.864
Cl: 0.752 0.146 0.317
Cl: 0.864 0.670 0.206

Computed properties:
Space-group type   R3, No. 146
E_form (uncorrected)   -134.19 kJ/mol of atoms